No. 1
PBE TbGeI5, optimized geometry; formation energy from raw total energies = -84 kJ per mole of atoms; electronic total energy = -3.298 eV per atom
1.0
9.053 0.000 0.000
0.000 4.392 0.000
-1.509 0.000 15.104
Tb Ge I
2 2 10
direct
0.104 0.250 0.148
0.896 0.750 0.852
0.389 0.750 0.385
0.611 0.250 0.615
0.102 0.250 0.793
0.159 0.250 0.370
0.182 0.750 0.012
0.366 0.750 0.569
0.430 0.250 0.190
0.570 0.750 0.810
0.634 0.250 0.431
0.818 0.250 0.988
0.841 0.750 0.630
0.898 0.750 0.207


No. 2
PBE TbGeI2, optimized geometry; formation energy from raw total energies = 0 kJ per mole of atoms; electronic total energy = -3.089 eV per atom
1.0
1.953 1.128 10.424
-1.953 1.128 10.424
0.000 -2.255 10.424
Tb Ge I
1 1 2
direct
0.000 0.000 0.000
0.500 0.500 0.500
0.096 0.096 0.096
0.904 0.904 0.904